# 1
# Li2ScW PBE relaxed
# **Polymorph energy (0 for the lowest one)**: 147 meV/atom
# **ΔE_f**: 422 meV/atom
# **M_tot**: 0.0 μB/f.u.
# **Symmetry**: P2/m (10)
data_Li2ScW
_cell_length_a 2.6631
_cell_length_b 5.1885
_cell_length_c 5.1123
_cell_angle_alpha 90.00
_cell_angle_beta 92.84
_cell_angle_gamma 90.00
_space_group_name_H-M_alt 'P 1'
_space_group_IT_number 1
loop_
_space_group_symop_operation_xyz
'x,y,z'
loop_
_atom_site_label
_atom_site_type_symbol
_atom_site_fract_x
_atom_site_fract_y
_atom_site_fract_z
Li1 Li 0.2057 0.0000 0.2228
Li2 Li 0.7943 0.0000 0.7772
Sc1 Sc 0.0000 0.5000 0.5000
W1 W 0.5000 0.5000 0.0000

***

# 2
# ScPPb PBE relaxed
# **Polymorph energy (0 for the lowest one)**: 977 meV/atom
# **ΔE_f**: 328 meV/atom
# **M_tot**: 0.0 μB/f.u.
# **Symmetry**: F-43m (216)
data_ScPPb
_cell_length_a 6.8526
_cell_length_b 6.8526
_cell_length_c 6.8526
_cell_angle_alpha 90.00
_cell_angle_beta 90.00
_cell_angle_gamma 90.00
_space_group_name_H-M_alt 'P 1'
_space_group_IT_number 1
loop_
_space_group_symop_operation_xyz
'x,y,z'
loop_
_atom_site_label
_atom_site_type_symbol
_atom_site_fract_x
_atom_site_fract_y
_atom_site_fract_z
Sc1 Sc 0.0000 0.0000 0.0000
Sc2 Sc 0.0000 0.5000 0.5000
Sc3 Sc 0.5000 0.0000 0.5000
Sc4 Sc 0.5000 0.5000 0.0000
P1 P 0.0000 0.0000 0.5000
P2 P 0.0000 0.5000 0.0000
P3 P 0.5000 0.0000 0.0000
P4 P 0.5000 0.5000 0.5000
Pb1 Pb 0.2500 0.2500 0.7500
Pb2 Pb 0.2500 0.7500 0.2500
Pb3 Pb 0.7500 0.2500 0.2500
Pb4 Pb 0.7500 0.7500 0.7500

***

# 3
# LaPmLu2 PBE relaxed
# **Polymorph energy (0 for the lowest one)**: 47 meV/atom
# **ΔE_f**: 72 meV/atom
# **M_tot**: 0.0 μB/f.u.
# **Symmetry**: Fm-3m (225)
data_LaPmLu2
_cell_length_a 8.0743
_cell_length_b 8.0743
_cell_length_c 8.0743
_cell_angle_alpha 90.00
_cell_angle_beta 90.00
_cell_angle_gamma 90.00
_space_group_name_H-M_alt 'P 1'
_space_group_IT_number 1
loop_
_space_group_symop_operation_xyz
'x,y,z'
loop_
_atom_site_label
_atom_site_type_symbol
_atom_site_fract_x
_atom_site_fract_y
_atom_site_fract_z
La1 La 0.0000 0.0000 0.0000
La2 La 0.0000 0.5000 0.5000
La3 La 0.5000 0.0000 0.5000
La4 La 0.5000 0.5000 0.0000
Pm1 Pm 0.0000 0.0000 0.5000
Pm2 Pm 0.0000 0.5000 0.0000
Pm3 Pm 0.5000 0.0000 0.0000
Pm4 Pm 0.5000 0.5000 0.5000
Lu1 Lu 0.2500 0.2500 0.2500
Lu2 Lu 0.2500 0.2500 0.7500
Lu3 Lu 0.2500 0.7500 0.2500
Lu4 Lu 0.2500 0.7500 0.7500
Lu5 Lu 0.7500 0.2500 0.2500
Lu6 Lu 0.7500 0.2500 0.7500
Lu7 Lu 0.7500 0.7500 0.2500
Lu8 Lu 0.7500 0.7500 0.7500

***

Question: Among the records above, which one has the lowest polymorph energy (0 for the lowest one)?
Answer: LaPmLu2

***

Please write out number 1 again, unchanged.
# Li2ScW PBE relaxed
# **Polymorph energy (0 for the lowest one)**: 147 meV/atom
# **ΔE_f**: 422 meV/atom
# **M_tot**: 0.0 μB/f.u.
# **Symmetry**: P2/m (10)
data_Li2ScW
_cell_length_a 2.6631
_cell_length_b 5.1885
_cell_length_c 5.1123
_cell_angle_alpha 90.00
_cell_angle_beta 92.84
_cell_angle_gamma 90.00
_space_group_name_H-M_alt 'P 1'
_space_group_IT_number 1
loop_
_space_group_symop_operation_xyz
'x,y,z'
loop_
_atom_site_label
_atom_site_type_symbol
_atom_site_fract_x
_atom_site_fract_y
_atom_site_fract_z
Li1 Li 0.2057 0.0000 0.2228
Li2 Li 0.7943 0.0000 0.7772
Sc1 Sc 0.0000 0.5000 0.5000
W1 W 0.5000 0.5000 0.0000